<A>
Entry from Alexandria via LeMat-Bulk: a geometry-optimized Dy4AlZn3 structure (PBE).

Results
- Fermi-level density of states (states/eV/cell) = 7.3
- crystal system = orthorhombic
- M_tot (μB per atom) = 0.00

CIF file:
```
data_Dy4AlZn3
_chemical_formula_sum 'Dy4 Al1 Zn3'
_symmetry_space_group_name_H-M 'P m m 2'
_symmetry_Int_Tables_number 25
_cell_length_a 3.641
_cell_length_b 4.498
_cell_length_c 11.482
_cell_angle_alpha 90.00
_cell_angle_beta 90.00
_cell_angle_gamma 90.00
loop_
_symmetry_equiv_pos_as_xyz
'x,y,z'
'-x,-y,z'
'-x,y,z'
'x,-y,z'
loop_
_atom_site_label
_atom_site_type_symbol
_atom_site_fract_x
_atom_site_fract_y
_atom_site_fract_z
Dy1 Dy 0.000 0.000 0.000
Dy2 Dy 0.000 0.500 0.300
Dy3 Dy 0.500 0.000 0.491
Dy4 Dy 0.500 0.500 0.806
Al1 Al 0.000 0.000 0.715
Zn1 Zn 0.000 0.500 0.581
Zn2 Zn 0.500 0.000 0.218
Zn3 Zn 0.500 0.500 0.081
```

---

<B>
Entry from Alexandria via LeMat-Bulk: a geometry-optimized Dy4AlZn3 structure (PBE).

Results
- Fermi-level density of states (states/eV/cell) = 8.0
- crystal system = orthorhombic
- M_tot (μB per atom) = 0.00

CIF file:
```
data_Dy4AlZn3
_chemical_formula_sum 'Dy4 Al1 Zn3'
_symmetry_space_group_name_H-M 'P m m m'
_symmetry_Int_Tables_number 47
_cell_length_a 3.590
_cell_length_b 5.050
_cell_length_c 10.118
_cell_angle_alpha 90.00
_cell_angle_beta 90.00
_cell_angle_gamma 90.00
loop_
_symmetry_equiv_pos_as_xyz
'x,y,z'
'-x,-y,-z'
'-x,-y,z'
'x,y,-z'
'x,-y,-z'
'-x,y,z'
'-x,y,-z'
'x,-y,z'
loop_
_atom_site_label
_atom_site_type_symbol
_atom_site_fract_x
_atom_site_fract_y
_atom_site_fract_z
Dy1 Dy 0.000 0.000 0.000
Dy2 Dy 0.000 0.000 0.500
Dy3 Dy 0.000 0.500 0.248
Al1 Al 0.500 0.500 0.500
Zn1 Zn 0.500 0.000 0.252
Zn2 Zn 0.500 0.500 0.000
```

---

Result of the stability comparison: <B> is the most stable of them.

---

<A>
Entry from Alexandria via LeMat-Bulk: a geometry-optimized DyZrAl structure (PBE).

Results
- Fermi-level density of states (states/eV/cell) = 7.0
- crystal system = tetragonal
- M_tot (μB per atom) = 0.00

CIF file:
```
data_DyZrAl
_chemical_formula_sum 'Dy2 Zr2 Al2'
_symmetry_space_group_name_H-M 'I 4 m m'
_symmetry_Int_Tables_number 107
_symmetry_space_group_name_Hall 'I 4 -2'
_cell_length_a 3.210
_cell_length_b 3.210
_cell_length_c 13.509
_cell_angle_alpha 90.00
_cell_angle_beta 90.00
_cell_angle_gamma 90.00
loop_
_atom_site_label
_atom_site_type_symbol
_atom_site_fract_x
_atom_site_fract_y
_atom_site_fract_z
Dy1 Dy 0.000 0.000 0.000
Zr1 Zr 0.000 0.000 0.307
Al1 Al 0.000 0.000 0.664
```

---

<B>
Entry from Alexandria via LeMat-Bulk: a geometry-optimized DyZrAl structure (PBE).

Results
- Fermi-level density of states (states/eV/cell) = 14.0
- crystal system = hexagonal
- M_tot (μB per atom) = 0.00

CIF file:
```
data_DyZrAl
_chemical_formula_sum 'Dy3 Zr3 Al3'
_symmetry_space_group_name_H-M 'P -6 2 m'
_symmetry_Int_Tables_number 189
_symmetry_space_group_name_Hall 'P -6 -2'
_cell_length_a 7.5015
_cell_length_b 7.5015
_cell_length_c 4.4812
_cell_angle_alpha 90.00
_cell_angle_beta 90.00
_cell_angle_gamma 120.00
loop_
_atom_site_label
_atom_site_type_symbol
_atom_site_fract_x
_atom_site_fract_y
_atom_site_fract_z
Dy1 Dy 0.0000 0.5799 0.0000
Zr1 Zr 0.0000 0.2374 0.5000
Al1 Al 0.0000 0.0000 0.0000
Al2 Al 0.3333 0.6667 0.5000
```

---

Result of the stability comparison: <B> is the most stable of them.